DFT (PBE) results for a relaxed structure of PmDy2Th3.

Lattice parameters (Å, degrees): 5.0559 8.0069 10.7419 72.67 76.39 71.60
Closest atoms and distances in Å follow each position.
Element x y z (fractional)
Pm  0.1272  0.8757  0.8699  4 Th 3.57, 7 Dy 3.58-3.66, 1 Pm 3.67
Pm  0.8728  0.1243  0.1301  4 Th 3.57, 7 Dy 3.58-3.66, 1 Pm 3.67
Dy  0.4594  0.2124  0.8689  4 Th 3.55-3.57, 4 Dy 3.56-3.69, 4 Pm 3.59-3.66
Dy  0.5406  0.7876  0.1311  4 Th 3.55-3.57, 4 Dy 3.56-3.69, 4 Pm 3.59-3.66
Dy  0.2058  0.4578  0.1307  4 Th 3.55-3.57, 5 Dy 3.56-3.66, 3 Pm 3.58-3.65
Dy  0.7942  0.5422  0.8693  4 Th 3.55-3.57, 5 Dy 3.56-3.66, 3 Pm 3.58-3.65
Th  0.7095  0.9593  0.6216  8 Th 3.53-3.58, 2 Pm 3.57, 2 Dy 3.57
Th  0.0423  0.2931  0.6223  8 Th 3.54-3.58, 3 Dy 3.55, 1 Pm 3.57
Th  0.3765  0.6252  0.6218  8 Th 3.53-3.58, 3 Dy 3.55-3.56, 1 Pm 3.57
Th  0.6235  0.3748  0.3782  8 Th 3.53-3.58, 3 Dy 3.55-3.56, 1 Pm 3.57
Th  0.9577  0.7069  0.3777  8 Th 3.54-3.58, 3 Dy 3.55, 1 Pm 3.57
Th  0.2905  0.0407  0.3784  8 Th 3.53-3.58, 2 Pm 3.57, 2 Dy 3.57

Computed properties:
N(E_F) = 1.600 states/eV/atom
raw total energy = -72.08 eV/cell
spin magnetization = 0.0 Bohr magnetons per cell
space-group type = No. 12
DFT formation energy = 2.8 kJ/mol of atoms